Material: Tb4Pm2PrSm
Method: DFT, PBE
State: optimized geometry

Output
raw total energy	-34.304	eV per formula unit
ΔH_f (0 K)	0.402	eV per atom
magnetization	2.5	μB per formula unit
DOS at the Fermi energy	2.367	states/eV per atom

POSCAR file:
```
Tb4Pm2PrSm
1.0
-4.479 -4.037 7.446
7.060 -6.372 1.162
0.838 11.557 -2.756
Tb Pm Pr Sm
8 4 2 2
direct
0.250 0.751 0.000
0.749 0.250 0.500
0.251 0.750 0.500
0.750 0.249 0.000
0.749 0.750 0.999
0.750 0.751 0.501
0.250 0.249 0.499
0.251 0.250 0.001
0.500 0.000 0.000
0.500 0.000 0.500
0.000 0.000 0.500
0.500 0.500 0.000
0.000 0.500 0.000
0.000 0.500 0.500
0.500 0.500 0.500
0.000 0.000 0.000
```

***

Material: LiPm2Ga4Au3
Method: DFT, PBE
State: optimized geometry

Output
raw total energy	-39.491	eV per formula unit
ΔH_f (0 K)	-0.614	eV per atom
magnetization	0.0	μB per formula unit
DOS at the Fermi energy	0.602	states/eV per atom

POSCAR file:
```
LiPm2Ga4Au3
1.0
-2.986 -2.744 -1.361
3.006 -2.992 -0.562
-1.536 -3.503 10.434
Li Pm Ga Au
1 2 4 3
direct
0.500 0.500 0.500
0.500 0.000 0.249
0.000 0.500 0.751
0.500 0.500 0.000
0.000 0.000 0.000
0.500 0.000 0.634
0.000 0.500 0.366
0.000 0.000 0.500
0.500 0.000 0.861
0.000 0.500 0.139
```